(1)
A relaxed structure of HfTcNO, computed with PBE.

Values from the calculation:
Its polymorph energy (0 for the lowest one) is 0.0 kJ per mole of atoms. For the final energy, the calculation gives -76.90 eV for the cell shown. As for the total magnetization: 0.0 μB per cell. The calculation puts the mass density at 10.75 g/cm³. As for the crystal system: tetragonal.

Geometry as POSCAR:
```
HfTcNO
1.0
3.724 0.000 0.000
0.000 3.724 0.000
0.000 0.000 6.824
Hf N O Tc
2 2 2 2
Direct
0.500 0.000 0.839
0.000 0.500 0.161
0.500 0.000 0.352
0.000 0.500 0.648
0.500 0.500 0.000
0.000 0.000 0.000
0.500 0.500 0.500
0.000 0.000 0.500
```

(2)
A relaxed structure of ScTa2Ge2, computed with PBE.

Values from the calculation:
For the final energy, the calculation gives -41.21 eV for the cell shown. As for the total magnetization: 0.0 μB per cell. The calculation puts the mass density at 9.76 g/cm³. As for the crystal system: tetragonal.

Geometry as POSCAR:
```
ScTa2Ge2
1.0
-1.987 1.987 5.949
1.987 -1.987 5.949
1.987 1.987 -5.949
Ta Ge Sc
2 2 1
Direct
0.750 0.250 0.500
0.250 0.750 0.500
0.601 0.601 0.000
0.399 0.399 0.000
0.000 0.000 0.000
```

(3)
A relaxed structure of ScCuTe3Pb, computed with PBE.

Values from the calculation:
Its polymorph energy (0 for the lowest one) is 0.9 kJ per mole of atoms. For the final energy, the calculation gives -107.80 eV for the cell shown. As for the total magnetization: 0.0 μB per cell. The calculation puts the mass density at 6.68 g/cm³. As for the crystal system: orthorhombic.

Geometry as POSCAR:
```
ScCuTe3Pb
1.0
10.535 0.000 0.000
0.000 4.288 0.000
0.000 0.000 15.374
Cu Sc Te Pb
4 4 12 4
Direct
0.638 0.750 0.881
0.362 0.250 0.119
0.138 0.750 0.619
0.862 0.250 0.381
0.333 0.750 0.965
0.167 0.250 0.465
0.833 0.750 0.535
0.667 0.250 0.035
0.504 0.750 0.117
0.004 0.750 0.383
0.223 0.750 0.785
0.161 0.250 0.024
0.723 0.750 0.715
0.496 0.250 0.883
0.277 0.250 0.285
0.839 0.750 0.976
0.996 0.250 0.617
0.661 0.250 0.476
0.777 0.250 0.215
0.339 0.750 0.524
0.970 0.750 0.164
0.530 0.250 0.664
0.030 0.250 0.836
0.470 0.750 0.336
```

(4)
A relaxed structure of DyYGa6, computed with PBE.

Values from the calculation:
For the final energy, the calculation gives -33.54 eV for the cell shown. As for the total magnetization: 0.0 μB per cell. The calculation puts the mass density at 7.17 g/cm³. As for the crystal system: hexagonal.

Geometry as POSCAR:
```
DyYGa6
1.0
-4.610 2.759 -3.220
1.746 -5.846 -1.416
-3.053 -1.632 2.973
Ga Y Dy
6 1 1
Direct
0.703 0.852 0.500
0.852 0.703 0.000
0.148 0.852 0.500
0.297 0.148 0.000
0.852 0.148 0.000
0.148 0.297 0.500
0.333 0.667 0.000
0.667 0.333 0.500
```

(5)
A relaxed structure of TaZnPd2, computed with PBE.

Values from the calculation:
For the final energy, the calculation gives -24.16 eV for the cell shown. The formation energy is -0.17 eV/atom. As for the total magnetization: 0.0 μB per cell. The calculation puts the mass density at 12.25 g/cm³. As for the crystal system: cubic.

Geometry as POSCAR:
```
TaZnPd2
1.0
4.199 0.956 1.115
1.313 -0.356 4.236
2.779 -3.260 1.201
Zn Pd Ta
1 2 1
Direct
0.500 0.500 0.500
0.250 0.250 0.250
0.000 0.000 0.000
0.750 0.750 0.750
```

(6)
A relaxed structure of Tm3Mg3Ag2Pt, computed with PBE.

Values from the calculation:
For the final energy, the calculation gives -34.21 eV for the cell shown. As for the total magnetization: 0.0 μB per cell. The calculation puts the mass density at 8.23 g/cm³. As for the crystal system: hexagonal.

Geometry as POSCAR:
```
Tm3Mg3Ag2Pt
1.0
7.384 0.000 0.000
-3.692 6.395 0.000
0.000 0.000 4.232
Tm Mg Ag Pt
3 3 2 1
Direct
0.601 0.000 0.000
0.000 0.601 0.000
0.399 0.399 0.000
0.241 0.000 0.500
0.000 0.241 0.500
0.759 0.759 0.500
0.333 0.667 0.500
0.667 0.333 0.500
0.000 0.000 0.000
```

(7)
A relaxed structure of SmMgOs, computed with PBE.

Values from the calculation:
For the final energy, the calculation gives -14.57 eV for the cell shown. As for the total magnetization: 0.0 μB per cell. The calculation puts the mass density at 8.13 g/cm³. As for the crystal system: cubic.

Geometry as POSCAR:
```
SmMgOs
1.0
0.720 2.172 4.132
-3.679 1.213 2.702
-0.815 -2.294 4.047
Mg Os Sm
1 1 1
Direct
0.250 0.250 0.250
0.750 0.750 0.750
0.000 0.000 0.000
```

(8)
A relaxed structure of LiUB, computed with PBE.

Values from the calculation:
Its polymorph energy (0 for the lowest one) is 66.7 kJ per mole of atoms. For the final energy, the calculation gives -16.32 eV for the cell shown. As for the total magnetization: 2.1 μB per cell. The calculation puts the mass density at 8.32 g/cm³. As for the crystal system: cubic.

Geometry as POSCAR:
```
LiUB
1.0
2.917 -0.070 2.970
-0.343 2.497 3.314
-0.874 -1.610 3.739
U Li B
1 1 1
Direct
0.000 0.000 0.000
0.750 0.750 0.750
0.250 0.250 0.250
```

(9)
A relaxed structure of TbZr3Te2C2, computed with PBE.

Values from the calculation:
For the final energy, the calculation gives -62.02 eV for the cell shown. As for the total magnetization: 0.0 μB per cell. The calculation puts the mass density at 7.70 g/cm³. As for the crystal system: trigonal.

Geometry as POSCAR:
```
TbZr3Te2C2
1.0
-2.315 -1.259 -2.456
3.385 0.785 -0.951
3.799 -12.786 2.971
Te Tb C Zr
2 1 2 3
Direct
0.667 0.333 0.737
0.000 0.000 0.254
0.000 0.000 0.909
0.333 0.667 0.497
0.333 0.667 0.013
0.667 0.333 0.096
0.000 0.000 0.583
0.667 0.333 0.411
```

(10)
A relaxed structure of Gd2InCuNi, computed with PBE.

Values from the calculation:
For the final energy, the calculation gives -23.58 eV for the cell shown. As for the total magnetization: 0.0 μB per cell. The calculation puts the mass density at 8.52 g/cm³. As for the crystal system: orthorhombic.

Geometry as POSCAR:
```
Gd2InCuNi
1.0
3.649 0.000 0.000
0.000 2.066 7.134
0.000 -2.066 7.134
In Cu Gd Ni
1 1 2 1
Direct
0.000 0.998 0.998
0.000 0.201 0.201
0.500 0.637 0.637
0.500 0.365 0.365
0.000 0.798 0.798
```

(11)
A relaxed structure of Ta8Ni5, computed with PBE.

Values from the calculation:
Its polymorph energy (0 for the lowest one) is 0.0 kJ per mole of atoms. For the final energy, the calculation gives -120.91 eV for the cell shown. The formation energy is 0.13 eV/atom. As for the total magnetization: 0.1 μB per cell. The calculation puts the mass density at 13.80 g/cm³. As for the crystal system: trigonal.

Geometry as POSCAR:
```
Ta8Ni5
1.0
-8.693 -2.868 0.266
-5.678 -7.178 -0.327
-6.254 -4.989 4.458
Ni Ta
5 8
Direct
0.545 0.545 0.545
0.835 0.835 0.835
0.455 0.455 0.455
0.000 0.000 0.000
0.165 0.165 0.165
0.650 0.650 0.650
0.419 0.915 0.915
0.085 0.581 0.085
0.915 0.915 0.419
0.581 0.085 0.085
0.915 0.419 0.915
0.085 0.085 0.581
0.350 0.350 0.350
```

(12)
A relaxed structure of Nb2AgIr, computed with PBE.

Values from the calculation:
For the final energy, the calculation gives -31.33 eV for the cell shown. The formation energy is 0.14 eV/atom. As for the total magnetization: 0.8 μB per cell. The calculation puts the mass density at 11.96 g/cm³. As for the crystal system: cubic.

Geometry as POSCAR:
```
Nb2AgIr
1.0
0.495 -1.711 4.208
-0.920 2.597 3.645
-3.684 -0.875 2.558
Nb Ir Ag
2 1 1
Direct
0.000 0.000 0.000
0.750 0.750 0.750
0.250 0.250 0.250
0.500 0.500 0.500
```